Material: Ba3Tb2SmTe6
Method: DFT, PBE
State: optimized geometry

## Properties
ΔE_f (raw): -149 kJ per mole of atoms

Lattice parameters (Å, degrees): 7.968 7.968 8.280 99.25 99.25 119.91
Positions (direct):
Te (0.735, 0.735, 0.217)
Te (0.927, 0.590, 0.782)
Te (0.410, 0.073, 0.218)
Te (0.073, 0.410, 0.218)
Te (0.265, 0.265, 0.783)
Te (0.590, 0.927, 0.782)
Sm (0.000, 0.000, 0.000)
Tb (0.667, 0.333, 0.000)
Tb (0.333, 0.667, 0.000)
Ba (0.500, 0.500, 0.500)
Ba (0.165, 0.835, 0.500)
Ba (0.835, 0.165, 0.500)


Material: GePdPt2
Method: DFT, PBE
State: optimized geometry

## Properties
VASP energy: -46.44 eV/cell

Lattice parameters (Å, degrees): 3.833 4.880 7.433 90.00 90.00 113.07
Positions (direct):
Pd (0.559, 0.117, 0.750)
Pd (0.441, 0.883, 0.250)
Pt (0.861, 0.720, 0.944)
Pt (0.861, 0.720, 0.556)
Pt (0.139, 0.280, 0.056)
Pt (0.139, 0.280, 0.444)
Ge (0.266, 0.529, 0.750)
Ge (0.734, 0.471, 0.250)


Material: Ca4N2Cl
Method: DFT, PBE
State: optimized geometry

## Properties
Energy above the most stable polymorph in this dataset: 177.5 meV per atom
ΔE_f (raw): -100 kJ per mole of atoms

Lattice parameters (Å, degrees): 7.490 7.490 7.490 121.15 113.75 94.59
Positions (direct):
Ca (0.382, 0.161, 0.779)
Ca (0.451, 0.141, 0.310)
Ca (0.382, 0.603, 0.221)
Ca (0.868, 0.147, 0.279)
Ca (0.419, 0.609, 0.810)
Ca (0.799, 0.609, 0.190)
Ca (0.868, 0.589, 0.721)
Ca (0.831, 0.141, 0.690)
N (0.125, 0.375, 0.750)
N (0.625, 0.375, 0.250)
N (0.625, 0.375, 0.750)
N (0.625, 0.875, 0.250)
Cl (0.182, 0.682, 0.500)
Cl (0.068, 0.068, 0.000)


| no. | volume (Å³/atom) | D(E_F) (states/eV per atom) |
| --- | --- | --- |
| 1 | 36.0 | 0.454 |
| 2 | 16.0 | 0.487 |
| 3 | 21.9 | 0.312 |